# 1
{
  "formula": "TbSm5Sc2",
  "functional": "PBE",
  "state": "optimized geometry",
  "lattice_angstrom": [[-8.441, 2.913, 1.304], [-2.369, -8.190, 2.958], [6.871, 4.301, 3.646]],
  "species": ["Sm", "Sm", "Sm", "Sm", "Sm", "Sm", "Sm", "Sm", "Sm", "Sm", "Tb", "Tb", "Sc", "Sc", "Sc", "Sc"],
  "frac_coords": [[0.307, 0.807, 0.318], [0.990, 0.490, 0.682], [0.807, 0.010, 0.318], [0.193, 0.990, 0.682], [0.490, 0.693, 0.682], [0.000, 0.000, 0.000], [0.500, 0.500, 0.000], [0.510, 0.307, 0.318], [0.693, 0.193, 0.682], [0.010, 0.510, 0.318], [0.250, 0.250, 0.500], [0.750, 0.750, 0.500], [0.851, 0.649, 0.000], [0.351, 0.851, 0.000], [0.649, 0.149, 0.000], [0.149, 0.351, 0.000]],
  "energy_ev_per_fu": -39.84,
  "total_magnetization_mub_per_cell": 0.482
}

---

# 2
{
  "formula": "Tb12SmSc2",
  "functional": "PBE",
  "state": "optimized geometry",
  "lattice_angstrom": [[5.850, 0.999, 0.992], [0.999, 5.850, -0.992], [3.057, -3.057, 30.045]],
  "species": ["Tb", "Tb", "Tb", "Tb", "Tb", "Tb", "Tb", "Tb", "Tb", "Tb", "Tb", "Tb", "Tb", "Tb", "Tb", "Tb", "Tb", "Tb", "Tb", "Tb", "Tb", "Tb", "Tb", "Tb", "Sc", "Sc", "Sc", "Sc", "Sm", "Sm"],
  "frac_coords": [[0.769, 0.731, 0.132], [0.883, 0.117, 0.067], [0.061, 0.939, 0.680], [0.169, 0.331, 0.618], [0.561, 0.439, 0.680], [0.269, 0.231, 0.132], [0.231, 0.269, 0.868], [0.283, 0.717, 0.553], [0.845, 0.155, 0.803], [0.345, 0.655, 0.803], [0.331, 0.169, 0.382], [0.939, 0.061, 0.320], [0.383, 0.617, 0.067], [0.439, 0.561, 0.320], [0.669, 0.831, 0.618], [0.831, 0.669, 0.382], [0.717, 0.283, 0.447], [0.155, 0.845, 0.197], [0.731, 0.769, 0.868], [0.783, 0.217, 0.553], [0.117, 0.883, 0.933], [0.617, 0.383, 0.933], [0.217, 0.783, 0.447], [0.655, 0.345, 0.197], [0.047, 0.453, 0.258], [0.953, 0.547, 0.742], [0.453, 0.047, 0.742], [0.547, 0.953, 0.258], [0.000, 0.500, 0.000], [0.500, 0.000, 0.000]],
  "energy_ev_per_fu": -71.23,
  "total_magnetization_mub_per_cell": 0.000
}

---

# 3
{
  "formula": "Tb5Sm4Sc2",
  "functional": "PBE",
  "state": "optimized geometry",
  "lattice_angstrom": [[4.849, 0.000, -1.183], [-0.148, 7.868, -0.605], [-0.417, 3.065, 8.819]],
  "species": ["Sc", "Sc", "Sm", "Sm", "Sm", "Sm", "Tb", "Tb", "Tb", "Tb", "Tb"],
  "frac_coords": [[0.410, 0.454, 0.821], [0.590, 0.546, 0.179], [0.956, 0.722, 0.912], [0.318, 0.905, 0.636], [0.682, 0.095, 0.364], [0.044, 0.278, 0.088], [0.135, 0.815, 0.270], [0.500, 0.000, 0.000], [0.773, 0.631, 0.547], [0.227, 0.369, 0.453], [0.865, 0.185, 0.730]],
  "energy_ev_per_fu": -54.28,
  "total_magnetization_mub_per_cell": 0.000
}

---

# 4
{
  "formula": "Tb6Sm5Sc2",
  "functional": "PBE",
  "state": "optimized geometry",
  "lattice_angstrom": [[3.589, 0.000, 0.000], [0.000, 11.333, 0.000], [0.000, 0.000, 20.385]],
  "species": ["Sm", "Sm", "Sm", "Sm", "Sm", "Sm", "Sm", "Sm", "Sm", "Sm", "Tb", "Tb", "Tb", "Tb", "Tb", "Tb", "Tb", "Tb", "Tb", "Tb", "Tb", "Tb", "Sc", "Sc", "Sc", "Sc"],
  "frac_coords": [[0.500, 0.500, 0.000], [0.500, 0.353, 0.722], [0.500, 0.853, 0.778], [0.500, 0.439, 0.422], [0.500, 0.561, 0.578], [0.500, 0.000, 0.500], [0.500, 0.647, 0.278], [0.500, 0.939, 0.078], [0.500, 0.147, 0.222], [0.500, 0.061, 0.922], [0.000, 0.279, 0.555], [0.000, 0.668, 0.117], [0.500, 0.920, 0.345], [0.500, 0.080, 0.655], [0.000, 0.332, 0.883], [0.000, 0.221, 0.055], [0.000, 0.168, 0.383], [0.000, 0.832, 0.617], [0.000, 0.721, 0.445], [0.500, 0.580, 0.845], [0.500, 0.420, 0.155], [0.000, 0.779, 0.945], [0.000, 0.888, 0.214], [0.000, 0.612, 0.714], [0.000, 0.388, 0.286], [0.000, 0.112, 0.786]],
  "energy_ev_per_fu": -63.31,
  "total_magnetization_mub_per_cell": 0.000
}

---

# 5
{
  "formula": "TbSm6Sc3",
  "functional": "PBE",
  "state": "optimized geometry",
  "lattice_angstrom": [[-5.611, 5.675, 5.538], [3.510, 3.727, 8.255], [0.532, 6.226, 2.678]],
  "species": ["Tb", "Sc", "Sc", "Sc", "Sm", "Sm", "Sm", "Sm", "Sm", "Sm"],
  "frac_coords": [[0.900, 0.900, 0.301], [0.640, 0.640, 0.079], [0.158, 0.158, 0.525], [0.399, 0.399, 0.802], [0.400, 0.736, 0.799], [0.736, 0.065, 0.799], [0.065, 0.400, 0.799], [0.901, 0.562, 0.299], [0.238, 0.901, 0.299], [0.562, 0.238, 0.299]],
  "energy_ev_per_fu": -50.12,
  "total_magnetization_mub_per_cell": 0.906
}

---

# 6
{
  "formula": "TbSm3Sc4",
  "functional": "PBE",
  "state": "optimized geometry",
  "lattice_angstrom": [[6.007, 0.000, 0.000], [0.000, 7.061, 0.000], [0.000, 0.000, 10.909]],
  "species": ["Sm", "Sm", "Sm", "Sm", "Sm", "Sm", "Sc", "Sc", "Sc", "Sc", "Sc", "Sc", "Sc", "Sc", "Tb", "Tb"],
  "frac_coords": [[0.139, 0.363, 0.500], [0.990, 0.636, 0.250], [0.990, 0.636, 0.750], [0.490, 0.364, 0.750], [0.639, 0.637, 0.000], [0.490, 0.364, 0.250], [0.979, 0.112, 0.751], [0.479, 0.888, 0.251], [0.150, 0.888, 0.500], [0.479, 0.888, 0.749], [0.979, 0.112, 0.249], [0.650, 0.112, 0.000], [0.150, 0.888, 0.000], [0.650, 0.112, 0.500], [0.139, 0.362, 0.000], [0.639, 0.638, 0.500]],
  "energy_ev_per_fu": -43.72,
  "total_magnetization_mub_per_cell": 0.012
}

---

# 7
{
  "formula": "TbSm6Sc",
  "functional": "PBE",
  "state": "optimized geometry",
  "lattice_angstrom": [[5.515, -0.406, 1.526], [1.311, 5.372, 1.526], [-0.551, -0.401, 9.212]],
  "species": ["Tb", "Sm", "Sm", "Sm", "Sm", "Sm", "Sm", "Sc"],
  "frac_coords": [[0.500, 0.500, 0.500], [0.542, 0.056, 0.293], [0.458, 0.944, 0.707], [0.366, 0.366, 0.926], [0.944, 0.458, 0.707], [0.056, 0.542, 0.293], [0.634, 0.634, 0.074], [0.000, 0.000, 0.000]],
  "energy_ev_per_fu": -36.29,
  "total_magnetization_mub_per_cell": 0.000
}

---

# 8
{
  "formula": "Tb4Sm5Sc3",
  "functional": "PBE",
  "state": "optimized geometry",
  "lattice_angstrom": [[5.256, 0.000, 0.000], [2.628, 5.542, -1.163], [2.628, 0.833, 12.648]],
  "species": ["Sc", "Sc", "Sc", "Tb", "Tb", "Tb", "Tb", "Sm", "Sm", "Sm", "Sm", "Sm"],
  "frac_coords": [[0.000, 0.500, 0.500], [0.683, 0.042, 0.591], [0.317, 0.958, 0.409], [0.760, 0.191, 0.290], [0.829, 0.308, 0.034], [0.240, 0.809, 0.710], [0.171, 0.692, 0.966], [0.500, 0.500, 0.500], [0.083, 0.590, 0.245], [0.460, 0.945, 0.135], [0.540, 0.055, 0.865], [0.917, 0.410, 0.755]],
  "energy_ev_per_fu": -58.34,
  "total_magnetization_mub_per_cell": 0.190
}

---

# 9
{
  "formula": "Tb4Sm3Sc2",
  "functional": "PBE",
  "state": "optimized geometry",
  "lattice_angstrom": [[-4.218, 1.577, 2.156], [-4.852, -0.059, -3.670], [-3.658, -9.855, 0.054]],
  "species": ["Tb", "Tb", "Tb", "Tb", "Sm", "Sm", "Sm", "Sc", "Sc"],
  "frac_coords": [[0.002, 0.996, 0.670], [0.667, 0.665, 0.890], [0.998, 0.004, 0.330], [0.333, 0.335, 0.110], [0.668, 0.663, 0.555], [0.332, 0.337, 0.445], [0.000, 0.000, 0.000], [0.334, 0.333, 0.778], [0.666, 0.667, 0.222]],
  "energy_ev_per_fu": -44.99,
  "total_magnetization_mub_per_cell": 0.000
}

---

# 10
{
  "formula": "Tb3Sm8Sc",
  "functional": "PBE",
  "state": "optimized geometry",
  "lattice_angstrom": [[7.568, -0.515, -3.614], [-4.432, 7.045, -1.152], [-0.324, 0.515, 8.380]],
  "species": ["Sm", "Sm", "Sm", "Sm", "Sm", "Sm", "Sm", "Sm", "Tb", "Tb", "Tb", "Sc"],
  "frac_coords": [[0.476, 0.218, 0.218], [0.000, 0.884, 0.631], [0.253, 0.369, 0.369], [0.000, 0.258, 0.782], [0.000, 0.631, 0.884], [0.524, 0.742, 0.742], [0.747, 0.116, 0.116], [0.000, 0.782, 0.258], [0.500, 0.750, 0.250], [0.000, 0.500, 0.500], [0.500, 0.250, 0.750], [0.000, 0.000, 0.000]],
  "energy_ev_per_fu": -51.09,
  "total_magnetization_mub_per_cell": 0.000
}

---

# 11
{
  "formula": "Tb3SmSc4",
  "functional": "PBE",
  "state": "optimized geometry",
  "lattice_angstrom": [[6.016, 0.000, 0.000], [0.000, 6.995, 0.000], [0.000, 0.000, 10.850]],
  "species": ["Sc", "Sc", "Sc", "Sc", "Sc", "Sc", "Sc", "Sc", "Sm", "Sm", "Tb", "Tb", "Tb", "Tb", "Tb", "Tb"],
  "frac_coords": [[0.978, 0.115, 0.251], [0.478, 0.885, 0.249], [0.651, 0.115, 0.500], [0.978, 0.115, 0.749], [0.651, 0.114, 0.000], [0.151, 0.886, 0.500], [0.478, 0.885, 0.751], [0.151, 0.885, 0.000], [0.642, 0.635, 0.500], [0.142, 0.365, 0.000], [0.141, 0.365, 0.500], [0.487, 0.364, 0.750], [0.987, 0.636, 0.750], [0.987, 0.636, 0.250], [0.487, 0.364, 0.250], [0.641, 0.635, 0.000]],
  "energy_ev_per_fu": -43.62,
  "total_magnetization_mub_per_cell": 0.002
}

---

# 12
{
  "formula": "Tb10SmSc6",
  "functional": "PBE",
  "state": "optimized geometry",
  "lattice_angstrom": [[-6.487, -0.819, -1.252], [0.674, -9.047, 2.425], [-2.069, 6.460, 6.494]],
  "species": ["Tb", "Tb", "Tb", "Tb", "Tb", "Tb", "Tb", "Tb", "Tb", "Tb", "Sc", "Sc", "Sc", "Sc", "Sc", "Sc", "Sm"],
  "frac_coords": [[0.177, 0.716, 0.000], [0.000, 0.667, 0.333], [0.000, 0.333, 0.667], [0.500, 0.333, 0.667], [0.177, 0.284, 0.284], [0.177, 0.000, 0.716], [0.823, 0.284, 0.000], [0.823, 0.000, 0.284], [0.500, 0.667, 0.333], [0.823, 0.716, 0.716], [0.323, 0.366, 0.000], [0.323, 0.634, 0.634], [0.677, 0.000, 0.634], [0.323, 0.000, 0.366], [0.677, 0.366, 0.366], [0.677, 0.634, 0.000], [0.500, 0.000, 0.000]],
  "energy_ev_per_fu": -86.61,
  "total_magnetization_mub_per_cell": 0.000
}